Compound: CeEr2
Source: Alexandria
Functional: GGA-PBE
Structure: relaxed

Summary:
The value obtained for the total magnetic moment is 0.7 Bohr magnetons per cell. As for the space group: I4/mmm, No. 139. The value obtained for the energy of formation is 0.07 eV/atom.

Lattice parameters (Å, degrees): 7.824 7.824 7.824 154.18 154.18 36.84
Atoms (fractional coordinates):
Ce (0.000, 0.000, 0.000)
Er (0.336, 0.336, 0.000)
Er (0.664, 0.664, 0.000)

=====

Compound: Cu5As3Cl12
Source: Alexandria
Functional: GGA-PBE
Structure: relaxed

Summary:
The value obtained for the total magnetic moment is 0.0 Bohr magnetons per cell. Its formation energy without anion corrections is -259 meV/atom. As for the space group: Ia-3d, No. 230.

Lattice parameters (Å, degrees): 13.253 13.253 13.253 109.47 109.47 109.47
Atoms (fractional coordinates):
Cu (0.000, 0.000, 0.000)
Cu (0.000, 0.000, 0.500)
Cu (0.000, 0.500, 0.000)
Cu (0.000, 0.500, 0.500)
Cu (0.125, 0.750, 0.875)
Cu (0.125, 0.875, 0.250)
Cu (0.250, 0.125, 0.875)
Cu (0.250, 0.625, 0.375)
Cu (0.375, 0.250, 0.625)
Cu (0.375, 0.625, 0.750)
Cu (0.500, 0.000, 0.000)
Cu (0.500, 0.000, 0.500)
Cu (0.500, 0.500, 0.000)
Cu (0.500, 0.500, 0.500)
Cu (0.625, 0.375, 0.250)
Cu (0.625, 0.750, 0.375)
Cu (0.750, 0.375, 0.625)
Cu (0.750, 0.875, 0.125)
Cu (0.875, 0.125, 0.750)
Cu (0.875, 0.250, 0.125)
As (0.125, 0.250, 0.375)
As (0.125, 0.375, 0.750)
As (0.250, 0.375, 0.125)
As (0.250, 0.875, 0.625)
As (0.375, 0.125, 0.250)
As (0.375, 0.750, 0.125)
As (0.625, 0.250, 0.875)
As (0.625, 0.875, 0.750)
As (0.750, 0.125, 0.375)
As (0.750, 0.625, 0.875)
As (0.875, 0.625, 0.250)
As (0.875, 0.750, 0.625)
Cl (0.030, 0.201, 0.143)
Cl (0.030, 0.329, 0.887)
Cl (0.058, 0.701, 0.671)
Cl (0.058, 0.857, 0.387)
Cl (0.113, 0.643, 0.442)
Cl (0.113, 0.970, 0.671)
Cl (0.143, 0.030, 0.201)
Cl (0.143, 0.613, 0.942)
Cl (0.171, 0.201, 0.558)
Cl (0.171, 0.470, 0.613)
Cl (0.201, 0.143, 0.030)
Cl (0.201, 0.558, 0.171)
Cl (0.299, 0.329, 0.942)
Cl (0.299, 0.470, 0.357)
Cl (0.329, 0.887, 0.030)
Cl (0.329, 0.942, 0.299)
Cl (0.357, 0.299, 0.470)
Cl (0.357, 0.558, 0.887)
Cl (0.387, 0.058, 0.857)
Cl (0.387, 0.829, 0.530)
Cl (0.442, 0.113, 0.643)
Cl (0.442, 0.829, 0.799)
Cl (0.470, 0.357, 0.299)
Cl (0.470, 0.613, 0.171)
Cl (0.530, 0.387, 0.829)
Cl (0.530, 0.643, 0.701)
Cl (0.558, 0.171, 0.201)
Cl (0.558, 0.887, 0.357)
Cl (0.613, 0.171, 0.470)
Cl (0.613, 0.942, 0.143)
Cl (0.643, 0.442, 0.113)
Cl (0.643, 0.701, 0.530)
Cl (0.671, 0.058, 0.701)
Cl (0.671, 0.113, 0.970)
Cl (0.701, 0.530, 0.643)
Cl (0.701, 0.671, 0.058)
Cl (0.799, 0.442, 0.829)
Cl (0.799, 0.857, 0.970)
Cl (0.829, 0.530, 0.387)
Cl (0.829, 0.799, 0.442)
Cl (0.857, 0.387, 0.058)
Cl (0.857, 0.970, 0.799)
Cl (0.887, 0.030, 0.329)
Cl (0.887, 0.357, 0.558)
Cl (0.942, 0.143, 0.613)
Cl (0.942, 0.299, 0.329)
Cl (0.970, 0.671, 0.113)
Cl (0.970, 0.799, 0.857)

=====

Compound: V2Zn2As
Source: Alexandria
Functional: GGA-PBE
Structure: relaxed

Summary:
The value obtained for the total magnetic moment is 0.3 Bohr magnetons per cell. As for the space group: P4/mbm, No. 127. The value obtained for the energy of formation is -0.04 eV/atom.

Lattice parameters (Å, degrees): 6.212 6.212 4.042 90.00 90.00 90.00
Atoms (fractional coordinates):
V (0.145, 0.355, 0.000)
V (0.355, 0.855, 0.000)
V (0.645, 0.145, 0.000)
V (0.855, 0.645, 0.000)
Zn (0.151, 0.651, 0.500)
Zn (0.349, 0.151, 0.500)
Zn (0.651, 0.849, 0.500)
Zn (0.849, 0.349, 0.500)
As (0.000, 0.000, 0.000)
As (0.500, 0.500, 0.000)

=====

Compound: TeOsRu2
Source: Alexandria
Functional: GGA-PBE
Structure: relaxed

Summary:
The value obtained for the total magnetic moment is 0.0 Bohr magnetons per cell. Its formation energy without anion corrections is 478 meV/atom. As for the space group: I4/mmm, No. 139.

Lattice parameters (Å, degrees): 4.776 4.776 4.776 130.22 130.22 73.05
Atoms (fractional coordinates):
Te (0.000, 0.000, 0.000)
Os (0.500, 0.500, 0.000)
Ru (0.250, 0.750, 0.500)
Ru (0.750, 0.250, 0.500)

=====

Compound: Np2UC
Source: Alexandria
Functional: GGA-PBE
Structure: relaxed

Summary:
The value obtained for the total magnetic moment is 2.4 Bohr magnetons per cell. As for the space group: R-3m, No. 166. The value obtained for the energy of formation is 0.18 eV/atom.

Lattice parameters (Å, degrees): 6.265 6.265 6.265 32.62 32.62 32.62
Atoms (fractional coordinates):
Np (0.244, 0.244, 0.244)
Np (0.756, 0.756, 0.756)
U (0.000, 0.000, 0.000)
C (0.500, 0.500, 0.500)

=====

Compound: AcInTe2O
Source: Alexandria
Functional: GGA-PBE
Structure: relaxed

Summary:
The value obtained for the total magnetic moment is 0.0 Bohr magnetons per cell. Its formation energy without anion corrections is -1584 meV/atom. As for the space group: P4/nmm, No. 129.

Lattice parameters (Å, degrees): 4.414 4.414 14.730 90.00 90.00 90.00
Atoms (fractional coordinates):
Ac (0.250, 0.250, 0.083)
Ac (0.750, 0.750, 0.917)
In (0.250, 0.250, 0.607)
In (0.750, 0.750, 0.393)
Te (0.250, 0.250, 0.411)
Te (0.250, 0.250, 0.796)
Te (0.750, 0.750, 0.204)
Te (0.750, 0.750, 0.589)
O (0.250, 0.750, 0.000)
O (0.750, 0.250, 0.000)

=====

Compound: SbMoAs
Source: Alexandria
Functional: GGA-PBE
Structure: relaxed

Summary:
The value obtained for the total magnetic moment is 0.0 Bohr magnetons per cell. Its formation energy without anion corrections is 66 meV/atom. As for the space group: P2_1/c, No. 14.

Lattice parameters (Å, degrees): 6.217 6.758 6.834 90.00 117.55 90.00
Atoms (fractional coordinates):
Sb (0.162, 0.139, 0.326)
Sb (0.162, 0.361, 0.826)
Sb (0.838, 0.639, 0.174)
Sb (0.838, 0.861, 0.674)
Mo (0.272, 0.515, 0.516)
Mo (0.272, 0.985, 0.016)
Mo (0.728, 0.015, 0.984)
Mo (0.728, 0.485, 0.484)
As (0.341, 0.639, 0.196)
As (0.341, 0.861, 0.696)
As (0.659, 0.139, 0.304)
As (0.659, 0.361, 0.804)

=====

Compound: Br7Cl
Source: Alexandria
Functional: GGA-PBE
Structure: relaxed

Summary:
The value obtained for the total magnetic moment is 0.0 Bohr magnetons per cell. Its formation energy without anion corrections is 712 meV/atom. As for the space group: Fm-3m, No. 225.

Lattice parameters (Å, degrees): 6.610 6.610 6.610 60.00 60.00 60.00
Atoms (fractional coordinates):
Br (0.000, 0.000, 0.000)
Br (0.000, 0.000, 0.500)
Br (0.000, 0.500, 0.000)
Br (0.000, 0.500, 0.500)
Br (0.500, 0.000, 0.000)
Br (0.500, 0.000, 0.500)
Br (0.500, 0.500, 0.000)
Cl (0.500, 0.500, 0.500)

=====

Compound: Na2CaPb
Source: Alexandria
Functional: GGA-PBE
Structure: relaxed

Summary:
The value obtained for the total magnetic moment is 0.0 Bohr magnetons per cell. As for the space group: P2_1/m, No. 11. The value obtained for the energy of formation is -0.25 eV/atom.

Lattice parameters (Å, degrees): 5.265 3.986 12.480 90.00 102.12 90.00
Atoms (fractional coordinates):
Na (0.062, 0.250, 0.120)
Na (0.427, 0.250, 0.856)
Na (0.573, 0.750, 0.144)
Na (0.938, 0.750, 0.880)
Ca (0.299, 0.750, 0.598)
Ca (0.701, 0.250, 0.402)
Pb (0.164, 0.750, 0.327)
Pb (0.836, 0.250, 0.673)

=====

Compound: AcTbPmPb
Source: Alexandria
Functional: GGA-PBE
Structure: relaxed

Summary:
The value obtained for the total magnetic moment is 0.0 Bohr magnetons per cell. As for the space group: F-43m, No. 216. The value obtained for the energy of formation is -0.10 eV/atom.

Lattice parameters (Å, degrees): 5.753 5.753 5.753 60.00 60.00 60.00
Atoms (fractional coordinates):
Ac (0.000, 0.000, 0.000)
Tb (0.250, 0.250, 0.250)
Pm (0.500, 0.500, 0.500)
Pb (0.750, 0.750, 0.750)

=====

Compound: ZrAgP2
Source: Alexandria
Functional: GGA-PBE
Structure: relaxed

Summary:
The value obtained for the total magnetic moment is 0.0 Bohr magnetons per cell. As for the space group: Pmmm, No. 47. The value obtained for the energy of formation is -0.41 eV/atom.

Lattice parameters (Å, degrees): 3.395 3.670 5.921 90.00 90.00 90.00
Atoms (fractional coordinates):
Zr (0.000, 0.000, 0.000)
Ag (0.500, 0.000, 0.500)
P (0.500, 0.500, 0.197)
P (0.500, 0.500, 0.803)

=====

Compound: Er2Ga3Rh
Source: Alexandria
Functional: GGA-PBE
Structure: relaxed

Summary:
The value obtained for the total magnetic moment is 0.0 Bohr magnetons per cell. As for the space group: Cm, No. 8. The value obtained for the energy of formation is -0.76 eV/atom.

Lattice parameters (Å, degrees): 5.584 5.584 6.993 127.21 127.21 45.31
Atoms (fractional coordinates):
Er (0.000, 0.000, 0.000)
Er (0.095, 0.095, 0.605)
Ga (0.380, 0.380, 0.190)
Ga (0.391, 0.391, 0.601)
Ga (0.712, 0.712, 0.394)
Rh (0.708, 0.708, 0.996)

=====

Compound: Sr6TlPd2
Source: Alexandria
Functional: GGA-PBE
Structure: relaxed

Summary:
The value obtained for the total magnetic moment is 0.0 Bohr magnetons per cell. As for the space group: Immm, No. 71. The value obtained for the energy of formation is -0.41 eV/atom.

Lattice parameters (Å, degrees): 9.471 9.471 9.471 113.70 111.09 103.79
Atoms (fractional coordinates):
Sr (0.043, 0.238, 0.805)
Sr (0.178, 0.289, 0.467)
Sr (0.178, 0.711, 0.888)
Sr (0.334, 0.020, 0.686)
Sr (0.334, 0.648, 0.314)
Sr (0.433, 0.238, 0.195)
Sr (0.567, 0.762, 0.805)
Sr (0.666, 0.352, 0.686)
Sr (0.666, 0.980, 0.314)
Sr (0.822, 0.289, 0.112)
Sr (0.822, 0.711, 0.533)
Sr (0.957, 0.762, 0.195)
Tl (0.000, 0.000, 0.000)
Tl (0.500, 0.500, 0.000)
Pd (0.123, 0.623, 0.500)
Pd (0.336, 0.000, 0.336)
Pd (0.664, 0.000, 0.664)
Pd (0.877, 0.377, 0.500)

=====

Compound: Ba2CaMg
Source: Alexandria
Functional: GGA-PBE
Structure: relaxed

Summary:
The value obtained for the total magnetic moment is 0.0 Bohr magnetons per cell. As for the space group: I-4m2, No. 119. The value obtained for the energy of formation is 0.04 eV/atom.

Lattice parameters (Å, degrees): 6.267 6.267 6.267 120.07 120.07 89.88
Atoms (fractional coordinates):
Ba (0.000, 0.000, 0.000)
Ba (0.750, 0.250, 0.500)
Ca (0.250, 0.750, 0.500)
Mg (0.500, 0.500, 0.000)

=====

no.,mass density (g/cm³),energy (eV per cell)
1,8.68,-14.842
2,3.59,-247.041
3,6.55,-51.233
4,13.92,-31.012
5,18.91,-45.690
6,7.09,-52.018
7,7.63,-77.619
8,4.84,-7.862
9,3.80,-18.663
10,9.10,-17.601
11,5.88,-23.862
12,9.17,-30.122
13,4.83,-52.976
14,3.24,-7.284